## P
TbSm5Er3, optimized geometry, DFT PBE; spin magnetization = 0.0 Bohr magnetons per cell; crystal system = monoclinic; space-group type = C2/c, No. 15
1.0
3.3550 11.4168 2.0338
-3.3550 11.4168 2.0338
0.0000 7.1575 9.0221
Sm Er Tb
10 6 2
direct
0.6072 0.6148 0.8295 Sm
0.6872 0.3128 0.2500 Sm
0.3852 0.3928 0.6705 Sm
0.2593 0.0831 0.5029 Sm
0.6148 0.6072 0.3295 Sm
0.3928 0.3852 0.1705 Sm
0.3128 0.6872 0.7500 Sm
0.0831 0.2593 0.0029 Sm
0.7407 0.9169 0.4971 Sm
0.9169 0.7407 0.9971 Sm
0.3586 0.1637 0.1052 Er
0.0000 0.0000 0.0000 Er
0.8363 0.6414 0.3948 Er
0.0000 0.0000 0.5000 Er
0.1637 0.3586 0.6052 Er
0.6414 0.8363 0.8948 Er
0.2397 0.7603 0.2500 Tb
0.7603 0.2397 0.7500 Tb

***

## Q
TbSm5Er3, optimized geometry, DFT PBE; spin magnetization = 0.0 Bohr magnetons per cell; crystal system = monoclinic; space-group type = C2/m, No. 12
1.0
9.3820 -0.1834 1.7422
2.3920 9.0738 1.7422
5.4965 4.1504 9.4213
Er Sm Tb
6 10 2
direct
0.3385 0.3385 0.6459 Er
0.0000 0.0000 0.5000 Er
0.0000 0.0000 0.0000 Er
0.6841 0.6841 0.8244 Er
0.6615 0.6615 0.3541 Er
0.3159 0.3159 0.1756 Er
0.4910 0.4910 0.2372 Sm
0.3454 0.8497 0.2570 Sm
0.2548 0.7452 0.0000 Sm
0.7452 0.2548 0.0000 Sm
0.8497 0.3454 0.2570 Sm
0.6546 0.1503 0.7430 Sm
0.1786 0.1786 0.0459 Sm
0.1503 0.6546 0.7430 Sm
0.8214 0.8214 0.9541 Sm
0.5090 0.5090 0.7628 Sm
0.8449 0.8449 0.4075 Tb
0.1551 0.1551 0.5925 Tb

***

Relative calculated energies, zero for the most stable structure, unit meV/atom: P 0; Q 313.

***

## P
Tb4Sm3Er5, optimized geometry, DFT PBE; spin magnetization = 0.3 Bohr magnetons per cell; crystal system = monoclinic; space-group type = C2/m, No. 12
1.0
5.8910 0.0000 0.0000
2.9455 7.4829 -2.7302
2.9455 -0.8085 9.1401
Tb Sm Er
4 3 5
direct
0.1689 0.0413 0.6209 Tb
0.1397 0.7781 0.9425 Tb
0.8311 0.9587 0.3791 Tb
0.8603 0.2219 0.0575 Tb
0.0000 0.5000 0.5000 Sm
0.5233 0.6857 0.2677 Sm
0.4767 0.3143 0.7323 Sm
0.7852 0.5423 0.8873 Er
0.5000 0.5000 0.5000 Er
0.2148 0.4577 0.1127 Er
0.6246 0.9480 0.8028 Er
0.3754 0.0520 0.1972 Er

***

## Q
Tb4Sm3Er5, optimized geometry, DFT PBE; spin magnetization = 0.0 Bohr magnetons per cell; crystal system = triclinic; space-group type = P-1, No. 2
1.0
-2.3118 -2.7207 6.1459
-1.4166 -3.8460 -10.4597
6.6112 0.5894 10.9518
Tb Er Sm
4 5 3
direct
0.1680 0.3353 0.1673 Tb
0.0826 0.1650 0.3320 Tb
0.8320 0.6647 0.8327 Tb
0.9174 0.8350 0.6680 Tb
0.2501 0.4993 0.9994 Er
0.3319 0.6665 0.8344 Er
0.6681 0.3335 0.1656 Er
0.7499 0.5007 0.0006 Er
0.5000 0.0000 0.5000 Er
0.5834 0.1663 0.3331 Sm
0.0000 0.0000 0.5000 Sm
0.4166 0.8337 0.6669 Sm

***

Relative calculated energies, zero for the most stable structure, unit meV/atom: P 219; Q 0.

***

## P
Tb3Sm4Er8, optimized geometry, DFT PBE; spin magnetization = 0.0 Bohr magnetons per cell; crystal system = monoclinic; space-group type = C2/m, No. 12
1.0
-3.1166 -5.4221 -2.4357
6.4086 -2.3257 6.2494
-4.8023 3.8164 6.9215
Tb Sm Er
3 4 8
direct
0.5000 0.0000 0.5000 Tb
0.5000 0.5000 0.0000 Tb
0.5000 0.5000 0.5000 Tb
0.0000 0.5000 0.0000 Sm
0.5000 0.0000 0.0000 Sm
0.0000 0.0000 0.5000 Sm
0.0000 0.0000 0.0000 Sm
0.5249 0.2670 0.2670 Er
0.0000 0.6382 0.3618 Er
0.5000 0.7455 0.2545 Er
0.0000 0.3618 0.6382 Er
0.4751 0.7330 0.7330 Er
0.0052 0.2684 0.2684 Er
0.9948 0.7316 0.7316 Er
0.5000 0.2545 0.7455 Er

***

## Q
Tb3Sm4Er8, optimized geometry, DFT PBE; spin magnetization = 0.0 Bohr magnetons per cell; crystal system = trigonal; space-group type = R-3m, No. 166
1.0
-5.4108 -1.3765 4.0923
-3.3252 -6.0441 -0.5748
4.3033 -7.1992 9.1230
Tb Er Sm
3 8 4
direct
0.0000 0.0000 0.5000 Tb
0.5000 0.0000 0.5000 Tb
0.0000 0.5000 0.5000 Tb
0.2451 0.2451 0.2648 Er
0.7501 0.2478 0.2520 Er
0.7522 0.2499 0.7480 Er
0.7549 0.7549 0.7352 Er
0.7501 0.7501 0.2520 Er
0.2499 0.2499 0.7480 Er
0.2499 0.7522 0.7480 Er
0.2478 0.7501 0.2520 Er
0.0000 0.0000 0.0000 Sm
0.5000 0.5000 0.5000 Sm
0.3365 0.3365 0.9905 Sm
0.6635 0.6635 0.0095 Sm

***

Relative calculated energies, zero for the most stable structure, unit meV/atom: P 253; Q 0.

***

## P
TbSm12Er7, optimized geometry, DFT PBE; spin magnetization = 0.0 Bohr magnetons per cell; crystal system = trigonal; space-group type = R-3, No. 148
1.0
-1.8771 9.1392 0.5040
-3.7107 -4.1137 7.5240
9.2738 -1.0557 0.4294
Er Sm Tb
7 12 1
direct
0.1036 0.6807 0.9921 Er
0.5000 0.5000 0.5000 Er
0.9921 0.1036 0.6807 Er
0.0079 0.8964 0.3193 Er
0.8964 0.3193 0.0079 Er
0.6807 0.9921 0.1036 Er
0.3193 0.0079 0.8964 Er
0.4068 0.0517 0.2970 Sm
0.6221 0.7790 0.3277 Sm
0.3277 0.6221 0.7790 Sm
0.9483 0.7030 0.5932 Sm
0.6723 0.3779 0.2210 Sm
0.2210 0.6723 0.3779 Sm
0.3779 0.2210 0.6723 Sm
0.5932 0.9483 0.7030 Sm
0.0517 0.2970 0.4068 Sm
0.2970 0.4068 0.0517 Sm
0.7790 0.3277 0.6221 Sm
0.7030 0.5932 0.9483 Sm
0.0000 0.0000 0.0000 Tb

***

## Q
TbSm12Er7, optimized geometry, DFT PBE; spin magnetization = 0.0 Bohr magnetons per cell; crystal system = trigonal; space-group type = R-3m, No. 166
1.0
5.9963 -9.7732 -0.2564
5.9963 9.7732 -0.2564
-9.6571 0.0000 6.1869
Sm Er Tb
12 7 1
direct
0.5850 0.9389 0.5855 Sm
0.4145 0.4150 0.0611 Sm
0.5006 0.0870 0.9137 Sm
0.0863 0.4994 0.9130 Sm
0.5855 0.5850 0.9389 Sm
0.4994 0.9130 0.0863 Sm
0.9130 0.0863 0.4994 Sm
0.9137 0.5006 0.0870 Sm
0.4150 0.0611 0.4145 Sm
0.0870 0.9137 0.5006 Sm
0.9389 0.5855 0.5850 Sm
0.0611 0.4145 0.4150 Sm
0.3702 0.1263 0.1258 Er
0.8737 0.8742 0.6298 Er
0.8742 0.6298 0.8737 Er
0.5000 0.5000 0.5000 Er
0.6298 0.8737 0.8742 Er
0.1258 0.3702 0.1263 Er
0.1263 0.1258 0.3702 Er
0.0000 0.0000 0.0000 Tb

***

Relative calculated energies, zero for the most stable structure, unit meV/atom: P 0; Q 96.

***

## P
Tb5SmEr3, optimized geometry, DFT PBE; spin magnetization = 0.0 Bohr magnetons per cell; crystal system = monoclinic; space-group type = C2/m, No. 12
1.0
-4.4213 -7.9554 1.9052
3.5418 -8.4409 1.6347
-0.0380 -6.6928 10.8950
Tb Er Sm
10 6 2
direct
0.6799 0.3201 0.0000 Tb
0.4419 0.4419 0.4324 Tb
0.9210 0.5087 0.2212 Tb
0.3201 0.6799 0.0000 Tb
0.6304 0.6304 0.0697 Tb
0.5087 0.9210 0.2212 Tb
0.5581 0.5581 0.5676 Tb
0.4913 0.0790 0.7788 Tb
0.0790 0.4913 0.7788 Tb
0.3696 0.3696 0.9303 Tb
0.0000 0.0000 0.5000 Er
0.6976 0.6976 0.6829 Er
0.0000 0.0000 0.0000 Er
0.3024 0.3024 0.3171 Er
0.8335 0.8335 0.3386 Er
0.1665 0.1665 0.6614 Er
0.1058 0.1058 0.1295 Sm
0.8942 0.8942 0.8705 Sm

***

## Q
Tb5SmEr3, optimized geometry, DFT PBE; spin magnetization = 0.0 Bohr magnetons per cell; crystal system = monoclinic; space-group type = C2/c, No. 15
1.0
6.3213 0.0000 0.0000
-3.1607 10.1333 -5.1723
0.0000 -2.9318 10.8786
Tb Er Sm
10 6 2
direct
0.9905 0.3406 0.4728 Tb
0.5410 0.6644 0.3719 Tb
0.1234 0.6644 0.8719 Tb
0.0095 0.6594 0.5272 Tb
0.4590 0.3356 0.6281 Tb
0.3501 0.3406 0.9728 Tb
0.3953 0.0000 0.7500 Tb
0.8766 0.3356 0.1281 Tb
0.6499 0.6594 0.0272 Tb
0.6047 0.0000 0.2500 Tb
0.4641 0.3236 0.3096 Er
0.0000 0.0000 0.0000 Er
0.0000 0.0000 0.5000 Er
0.8595 0.3236 0.8096 Er
0.5359 0.6764 0.6904 Er
0.1405 0.6764 0.1904 Er
0.1327 0.0000 0.2500 Sm
0.8673 0.0000 0.7500 Sm

***

Relative calculated energies, zero for the most stable structure, unit meV/atom: P 125; Q 0.

***

## P
TbSm2Er2, optimized geometry, DFT PBE; spin magnetization = 0.0 Bohr magnetons per cell; crystal system = trigonal; space-group type = R-3m, No. 166
1.0
3.4611 0.0000 0.9142
1.4718 2.9285 1.4368
-2.3551 2.1122 15.9251
Sm Er Tb
2 2 1
direct
0.2356 0.4243 0.1045 Sm
0.7644 0.5757 0.8955 Sm
0.7017 0.2931 0.3036 Er
0.2983 0.7069 0.6964 Er
0.5000 0.5000 0.5000 Tb

***

## Q
TbSm2Er2, optimized geometry, DFT PBE; spin magnetization = 0.0 Bohr magnetons per cell; crystal system = monoclinic; space-group type = C2/c, No. 15
1.0
0.1642 7.8068 4.4029
-3.2617 -4.8393 6.8045
5.0783 -1.8754 -2.6313
Sm Tb Er
4 2 4
direct
0.6082 0.7596 0.9955 Sm
0.2404 0.3918 0.5045 Sm
0.3918 0.2404 0.0045 Sm
0.7596 0.6082 0.4955 Sm
0.9362 0.0638 0.7500 Tb
0.0638 0.9362 0.2500 Tb
0.1965 0.8035 0.7500 Er
0.8035 0.1965 0.2500 Er
0.3309 0.6691 0.2500 Er
0.6691 0.3309 0.7500 Er

***

Relative calculated energies, zero for the most stable structure, unit meV/atom: P 0; Q 277.

***

## P
Tb2Sm7Er2, optimized geometry, DFT PBE; spin magnetization = 0.0 Bohr magnetons per cell; crystal system = orthorhombic; space-group type = Cmmm, No. 65
1.0
6.6565 -0.0019 -1.7084
0.0046 9.5850 0.0040
-2.1198 -0.0022 6.5371
Er Sm Tb
2 7 2
direct
0.2705 0.0000 0.7295 Er
0.7295 0.0000 0.2705 Er
0.4998 0.1826 0.5002 Sm
0.5003 0.6850 0.9998 Sm
0.4997 0.3150 0.0002 Sm
0.5002 0.8174 0.4998 Sm
0.9998 0.3150 0.5003 Sm
0.0002 0.6850 0.4997 Sm
0.0000 0.0000 0.0000 Sm
0.7498 0.5000 0.7498 Tb
0.2502 0.5000 0.2502 Tb

***

## Q
Tb2Sm7Er2, optimized geometry, DFT PBE; spin magnetization = 0.0 Bohr magnetons per cell; crystal system = orthorhombic; space-group type = Imm2, No. 44
1.0
-3.0995 3.7602 -2.8004
6.3570 1.6101 -4.8739
-4.0359 -8.4180 -1.1963
Sm Tb Er
7 2 2
direct
0.8648 0.7819 0.7295 Sm
0.8665 0.1931 0.7330 Sm
0.6627 0.7859 0.3254 Sm
0.1352 0.0524 0.2705 Sm
0.5000 0.9195 0.0000 Sm
0.1335 0.4601 0.2670 Sm
0.3373 0.4605 0.6746 Sm
0.7010 0.3226 0.4020 Tb
0.2990 0.9206 0.5980 Tb
0.5000 0.3353 0.0000 Er
0.0000 0.6221 0.0000 Er

***

Relative calculated energies, zero for the most stable structure, unit meV/atom: P 231; Q 0.

***

## P
Tb9SmEr2, optimized geometry, DFT PBE; spin magnetization = 0.0 Bohr magnetons per cell; crystal system = hexagonal; space-group type = P6/mmm, No. 191
1.0
3.5035 0.0000 0.0000
0.0000 11.2455 0.0000
0.0000 -5.6228 9.7389
Er Tb Sm
2 9 1
direct
0.0000 0.6667 0.3333 Er
0.0000 0.3333 0.6667 Er
0.5000 0.1773 0.3546 Tb
0.0000 0.0000 0.5000 Tb
0.0000 0.5000 0.0000 Tb
0.5000 0.8227 0.6454 Tb
0.5000 0.8227 0.1773 Tb
0.5000 0.6454 0.8227 Tb
0.5000 0.3546 0.1773 Tb
0.5000 0.1773 0.8227 Tb
0.0000 0.5000 0.5000 Tb
0.0000 0.0000 0.0000 Sm

***

## Q
Tb9SmEr2, optimized geometry, DFT PBE; spin magnetization = 0.0 Bohr magnetons per cell; crystal system = tetragonal; space-group type = P4/mmm, No. 123
1.0
-1.1710 2.9295 -3.9164
-3.6259 -3.2225 -1.3264
-9.8487 7.5462 8.5895
Tb Er Sm
9 2 1
direct
0.5000 0.5000 0.6655 Tb
0.5000 0.5000 0.3345 Tb
0.5000 0.0000 0.8317 Tb
0.0000 0.5000 0.5000 Tb
0.5000 0.0000 0.5000 Tb
0.0000 0.5000 0.8317 Tb
0.0000 0.5000 0.1683 Tb
0.5000 0.0000 0.1683 Tb
0.5000 0.5000 0.0000 Tb
0.0000 0.0000 0.3342 Er
0.0000 0.0000 0.6658 Er
0.0000 0.0000 0.0000 Sm

***

Relative calculated energies, zero for the most stable structure, unit meV/atom: P 20; Q 0.

***

## P
Tb8Sm2Er, optimized geometry, DFT PBE; spin magnetization = 0.0 Bohr magnetons per cell; crystal system = monoclinic; space-group type = C2/m, No. 12
1.0
0.4358 4.6565 -1.8773
-0.8897 -2.8955 -7.3886
-8.6324 -0.3925 3.7870
Tb Sm Er
8 2 1
direct
0.8646 0.8205 0.7292 Tb
0.9550 0.2721 0.9099 Tb
0.0450 0.7279 0.0901 Tb
0.6814 0.9088 0.3627 Tb
0.3186 0.0912 0.6373 Tb
0.5901 0.4531 0.1802 Tb
0.1354 0.1795 0.2708 Tb
0.4099 0.5469 0.8198 Tb
0.7730 0.3631 0.5460 Sm
0.2270 0.6369 0.4540 Sm
0.5000 0.0000 0.0000 Er

***

## Q
Tb8Sm2Er, optimized geometry, DFT PBE; spin magnetization = 0.0 Bohr magnetons per cell; crystal system = monoclinic; space-group type = C2/m, No. 12
1.0
2.0709 4.2462 4.7086
7.4230 -2.6568 6.4573
9.9513 1.3358 1.7449
Sm Tb Er
2 8 1
direct
0.4020 0.1985 0.1985 Sm
0.5980 0.8015 0.8015 Sm
0.2282 0.8252 0.3502 Tb
0.7300 0.5890 0.5890 Tb
0.1793 0.7562 0.7562 Tb
0.7718 0.6498 0.1748 Tb
0.2282 0.3502 0.8252 Tb
0.7718 0.1748 0.6498 Tb
0.8207 0.2438 0.2438 Tb
0.2700 0.4110 0.4110 Tb
0.0000 0.0000 0.0000 Er

***

Relative calculated energies, zero for the most stable structure, unit meV/atom: P 0; Q 146.